Ni2AsPdS | PBE | relaxed

Lattice parameters (Å, degrees): 4.3520 4.3520 4.7129 90.00 90.00 90.00
Closest atoms and distances in Å follow each position.
Positions (direct):
Ni1 0.0000 0.5000 0.0000  2 As 2.18
Ni2 0.5000 0.0000 0.0000  2 As 2.18
As1 0.0000 0.0000 0.0000  4 Ni 2.18, 2 Pd 2.36
Pd1 0.0000 0.0000 0.5000  2 As 2.36
S1 0.5000 0.5000 0.5000  4 Pd 3.08, 8 Ni 3.21

Values from the calculation:
- electronic total energy (eV per atom) = -4.54
- ΔE_f (raw) (eV/atom) = 0.5688